# TbNpP2O8 (PBE, optimized geometry)
# N(E_F): 0.20 states/eV per atom
# theoretical density: 5.61 Mg/m³
# energy relative to the elements, uncorrected: -2.715 eV per atom
# total DFT energy (no corrections): -0.61642 Ry per atom
data_TbNpP2O8
_cell_length_a 5.2866
_cell_length_b 5.2866
_cell_length_c 7.1678
_cell_angle_alpha 90.00
_cell_angle_beta 90.00
_cell_angle_gamma 120.00
_space_group_name_H-M_alt 'P -3 m 1'
_space_group_IT_number 164
_space_group_name_Hall '-P 3 2"'
loop_
_atom_site_label
_atom_site_fract_x
_atom_site_fract_y
_atom_site_fract_z
_atom_site_occupancy
Tb1 0.0000 0.0000 0.0000 1
Np1 0.0000 0.0000 0.5000 1
P1 0.3333 0.6667 0.2976 1
O1 0.1739 0.3478 0.2228 1
O2 0.3333 0.6667 0.5109 1



# NpTcPO (PBE, optimized geometry)
# N(E_F): 1.62 states/eV per atom
# theoretical density: 10.15 Mg/m³
# energy relative to the elements, uncorrected: -1.601 eV per atom
# total DFT energy (no corrections): -0.73645 Ry per atom
data_NpTcPO
_cell_length_a 3.971
_cell_length_b 3.971
_cell_length_c 7.923
_cell_angle_alpha 90.00
_cell_angle_beta 90.00
_cell_angle_gamma 90.00
_space_group_name_H-M_alt 'P 4/n m m'
_space_group_IT_number 129
loop_
_space_group_symop_operation_xyz
'x,y,z'
'-x,-y,-z'
'-y+1/2,x,z'
'y+1/2,-x,-z'
'-x+1/2,-y+1/2,z'
'x+1/2,y+1/2,-z'
'y,-x+1/2,z'
'-y,x+1/2,-z'
'x+1/2,-y,-z'
'-x+1/2,y,z'
'-y,-x,-z'
'y,x,z'
'-x,y+1/2,-z'
'x,-y+1/2,z'
'y+1/2,x+1/2,-z'
'-y+1/2,-x+1/2,z'
loop_
_atom_site_label
_atom_site_fract_x
_atom_site_fract_y
_atom_site_fract_z
_atom_site_occupancy
Np1 0.250 0.250 0.150 1
Tc1 0.250 0.750 0.500 1
P1 0.250 0.250 0.663 1
O1 0.250 0.750 0.000 1



# NpTl2PO6 (PBE, optimized geometry)
# N(E_F): 0.46 states/eV per atom
# theoretical density: 7.88 Mg/m³
# energy relative to the elements, uncorrected: -1.741 eV per atom
# total DFT energy (no corrections): -0.51629 Ry per atom
data_NpTl2PO6
_cell_length_a 5.555
_cell_length_b 5.555
_cell_length_c 10.552
_cell_angle_alpha 90.00
_cell_angle_beta 90.00
_cell_angle_gamma 90.00
_space_group_name_H-M_alt 'I 4/m m m'
_space_group_IT_number 139
_space_group_name_Hall '-I 4 2'
loop_
_atom_site_label
_atom_site_fract_x
_atom_site_fract_y
_atom_site_fract_z
_atom_site_occupancy
Np1 0.000 0.000 0.000 1
Tl1 0.000 0.500 0.250 1
P1 0.000 0.000 0.500 1
O1 0.000 0.000 0.182 1
O2 0.207 0.207 0.500 1



# TmNpP2O8 (PBE, optimized geometry)
# N(E_F): 0.17 states/eV per atom
# theoretical density: 5.84 Mg/m³
# energy relative to the elements, uncorrected: -2.740 eV per atom
# total DFT energy (no corrections): -0.61725 Ry per atom
data_TmNpP2O8
_cell_length_a 5.2581
_cell_length_b 5.2581
_cell_length_c 7.0730
_cell_angle_alpha 90.00
_cell_angle_beta 90.00
_cell_angle_gamma 120.00
_space_group_name_H-M_alt 'P -3 m 1'
_space_group_IT_number 164
_space_group_name_Hall '-P 3 2"'
loop_
_atom_site_label
_atom_site_fract_x
_atom_site_fract_y
_atom_site_fract_z
_atom_site_occupancy
Tm1 0.0000 0.0000 0.0000 1
Np1 0.0000 0.0000 0.5000 1
P1 0.3333 0.6667 0.2918 1
O1 0.1730 0.3461 0.2168 1
O2 0.3333 0.6667 0.5082 1



# YNpP2O8 (PBE, optimized geometry)
# N(E_F): 0.18 states/eV per atom
# theoretical density: 4.96 Mg/m³
# energy relative to the elements, uncorrected: -2.713 eV per atom
# total DFT energy (no corrections): -0.62744 Ry per atom
data_YNpP2O8
_cell_length_a 5.2810
_cell_length_b 5.2810
_cell_length_c 7.1543
_cell_angle_alpha 90.00
_cell_angle_beta 90.00
_cell_angle_gamma 120.00
_space_group_name_H-M_alt 'P -3'
_space_group_IT_number 147
loop_
_space_group_symop_operation_xyz
'x,y,z'
'-x,-y,-z'
'-y,x-y,z'
'y,-x+y,-z'
'-x+y,-x,z'
'x-y,x,-z'
loop_
_atom_site_label
_atom_site_fract_x
_atom_site_fract_y
_atom_site_fract_z
_atom_site_occupancy
Y1 0.0000 0.0000 0.0000 1
Np1 0.0000 0.0000 0.5000 1
P1 0.3333 0.6667 0.2965 1
O1 0.1726 0.3474 0.2219 1
O2 0.3333 0.6667 0.5103 1



# NpZnP2O8 (PBE, optimized geometry)
# N(E_F): 0.67 states/eV per atom
# theoretical density: 5.37 Mg/m³
# energy relative to the elements, uncorrected: -2.243 eV per atom
# total DFT energy (no corrections): -0.56115 Ry per atom
data_NpZnP2O8
_cell_length_a 5.1259
_cell_length_b 5.1259
_cell_length_c 6.6959
_cell_angle_alpha 90.00
_cell_angle_beta 90.00
_cell_angle_gamma 120.00
_space_group_name_H-M_alt 'P -3 m 1'
_space_group_IT_number 164
_space_group_name_Hall '-P 3 2"'
loop_
_atom_site_label
_atom_site_fract_x
_atom_site_fract_y
_atom_site_fract_z
_atom_site_occupancy
Np1 0.0000 0.0000 0.0000 1
Zn1 0.0000 0.0000 0.5000 1
P1 0.3333 0.6667 0.7903 1
O1 0.1675 0.3349 0.7197 1
O2 0.3333 0.6667 0.0207 1



# Np2PaO11 (PBE, optimized geometry)
# theoretical density: 6.78 Mg/m³
# energy relative to the elements, uncorrected: -2.314 eV per atom
# total DFT energy (no corrections): -0.64216 Ry per atom
data_Np2PaO11
_cell_length_a 10.541
_cell_length_b 8.354
_cell_length_c 9.807
_cell_angle_alpha 90.00
_cell_angle_beta 90.00
_cell_angle_gamma 90.00
_space_group_name_H-M_alt 'I m a 2'
_space_group_IT_number 46
loop_
_space_group_symop_operation_xyz
'x,y,z'
'-x,-y,z'
'-x+1/2,y,z'
'x+1/2,-y,z'
'x+1/2,y+1/2,z+1/2'
'-x+1/2,-y+1/2,z+1/2'
'-x,y+1/2,z+1/2'
'x,-y+1/2,z+1/2'
loop_
_atom_site_label
_atom_site_fract_x
_atom_site_fract_y
_atom_site_fract_z
_atom_site_occupancy
Np1 0.250 0.174 0.000 1
Np2 0.250 0.706 0.913 1
Pa1 0.000 0.000 0.693 1
O1 0.114 0.606 0.032 1
O2 0.118 0.696 0.298 1
O3 0.120 0.113 0.873 1
O4 0.122 0.221 0.609 1
O5 0.250 0.020 0.251 1
O6 0.250 0.083 0.374 1
O7 0.250 0.598 0.526 1



# Np2PaO6 (PBE, optimized geometry)
# N(E_F): 1.68 states/eV per atom
# theoretical density: 11.06 Mg/m³
# energy relative to the elements, uncorrected: -3.322 eV per atom
# total DFT energy (no corrections): -0.77603 Ry per atom
data_Np2PaO6
_cell_length_a 3.838
_cell_length_b 5.436
_cell_length_c 11.530
_cell_angle_alpha 90.00
_cell_angle_beta 90.00
_cell_angle_gamma 90.00
_space_group_name_H-M_alt 'I m m m'
_space_group_IT_number 71
_space_group_name_Hall '-I 2 2'
loop_
_atom_site_label
_atom_site_fract_x
_atom_site_fract_y
_atom_site_fract_z
_atom_site_occupancy
Np1 0.000 0.000 0.168 1
Pa1 0.000 0.000 0.500 1
O1 0.000 0.247 0.337 1
O2 0.000 0.258 0.000 1



# NpPaO2 (PBE, optimized geometry)
# N(E_F): 1.58 states/eV per atom
# theoretical density: 14.16 Mg/m³
# energy relative to the elements, uncorrected: -1.541 eV per atom
# relative energy among the computed polymorphs: 68.8 kJ/mol of atoms
# total DFT energy (no corrections): -0.70775 Ry per atom
data_NpPaO2
_cell_length_a 4.351
_cell_length_b 4.351
_cell_length_c 3.096
_cell_angle_alpha 90.00
_cell_angle_beta 90.00
_cell_angle_gamma 90.00
_space_group_name_H-M_alt 'P 4/m m m'
_space_group_IT_number 123
_space_group_name_Hall '-P 4 2'
loop_
_atom_site_label
_atom_site_fract_x
_atom_site_fract_y
_atom_site_fract_z
_atom_site_occupancy
Np1 0.000 0.000 0.000 1
Pa1 0.500 0.500 0.000 1
O1 0.000 0.500 0.500 1



# Np6PaO12 (PBE, optimized geometry)
# N(E_F): 2.17 states/eV per atom
# theoretical density: 10.77 Mg/m³
# energy relative to the elements, uncorrected: -3.038 eV per atom
# total DFT energy (no corrections): -0.79056 Ry per atom
data_Np6PaO12
_cell_length_a 10.1882
_cell_length_b 10.1882
_cell_length_c 9.4969
_cell_angle_alpha 90.00
_cell_angle_beta 90.00
_cell_angle_gamma 120.00
_space_group_name_H-M_alt 'R -3'
_space_group_IT_number 148
_space_group_name_Hall '-R 3'
loop_
_atom_site_label
_atom_site_fract_x
_atom_site_fract_y
_atom_site_fract_z
_atom_site_occupancy
Np1 0.0452 0.7939 0.1533 1
Pa1 0.0000 0.0000 0.5000 1
O1 0.0373 0.8128 0.9018 1
O2 0.0421 0.8279 0.3971 1



# NpPa2O7 (PBE, optimized geometry)
# N(E_F): 0.89 states/eV per atom
# theoretical density: 9.90 Mg/m³
# energy relative to the elements, uncorrected: -3.429 eV per atom
# total DFT energy (no corrections): -0.74183 Ry per atom
data_NpPa2O7
_cell_length_a 3.8632
_cell_length_b 3.8632
_cell_length_c 31.5740
_cell_angle_alpha 90.00
_cell_angle_beta 90.00
_cell_angle_gamma 120.00
_space_group_name_H-M_alt 'R -3 m'
_space_group_IT_number 166
_space_group_name_Hall '-R 3 2"'
loop_
_atom_site_label
_atom_site_fract_x
_atom_site_fract_y
_atom_site_fract_z
_atom_site_occupancy
Np1 0.0000 0.0000 0.0000 1
Pa1 0.0000 0.0000 0.4334 1
O1 0.0000 0.0000 0.0733 1
O2 0.0000 0.0000 0.2206 1
O3 0.0000 0.0000 0.3578 1
O4 0.0000 0.0000 0.5000 1



# NpPa2O8 (PBE, optimized geometry)
# N(E_F): 0.39 states/eV per atom
# theoretical density: 8.05 Mg/m³
# energy relative to the elements, uncorrected: -3.214 eV per atom
# total DFT energy (no corrections): -0.71460 Ry per atom
data_NpPa2O8
_cell_length_a 13.988
_cell_length_b 3.723
_cell_length_c 6.615
_cell_angle_alpha 90.00
_cell_angle_beta 97.94
_cell_angle_gamma 90.00
_space_group_name_H-M_alt 'C 1 2/m 1'
_space_group_IT_number 12
loop_
_space_group_symop_operation_xyz
'x,y,z'
'-x,-y,-z'
'-x,y,-z'
'x,-y,z'
'x+1/2,y+1/2,z'
'-x+1/2,-y+1/2,-z'
'-x+1/2,y+1/2,-z'
'x+1/2,-y+1/2,z'
loop_
_atom_site_label
_atom_site_fract_x
_atom_site_fract_y
_atom_site_fract_z
_atom_site_occupancy
Np1 0.000 0.000 0.000 1
Pa1 0.238 0.500 0.254 1
O1 0.079 0.000 0.799 1
O2 0.081 0.500 0.134 1
O3 0.189 0.000 0.426 1
O4 0.223 0.500 0.882 1



# NpPaO6 (PBE, optimized geometry)
# theoretical density: 6.28 Mg/m³
# energy relative to the elements, uncorrected: -2.959 eV per atom
# total DFT energy (no corrections): -0.69692 Ry per atom
data_NpPaO6
_cell_length_a 5.942
_cell_length_b 5.945
_cell_length_c 5.948
_cell_angle_alpha 90.30
_cell_angle_beta 119.83
_cell_angle_gamma 119.77
_space_group_name_H-M_alt 'P -1'
_space_group_IT_number 2
loop_
_space_group_symop_operation_xyz
'x,y,z'
'-x,-y,-z'
loop_
_atom_site_label
_atom_site_fract_x
_atom_site_fract_y
_atom_site_fract_z
_atom_site_occupancy
Np1 0.000 0.000 0.000 1
Pa1 0.000 0.500 0.500 1
O1 0.003 0.259 0.258 1
O2 0.008 0.236 0.771 1
O3 0.465 0.227 0.235 1



# NpPaO5 (PBE, optimized geometry)
# N(E_F): 0.72 states/eV per atom
# theoretical density: 7.76 Mg/m³
# energy relative to the elements, uncorrected: -3.180 eV per atom
# total DFT energy (no corrections): -0.72958 Ry per atom
data_NpPaO5
_cell_length_a 4.083
_cell_length_b 6.801
_cell_length_c 8.448
_cell_angle_alpha 90.00
_cell_angle_beta 90.00
_cell_angle_gamma 90.00
_space_group_name_H-M_alt 'I m m m'
_space_group_IT_number 71
_space_group_name_Hall '-I 2 2'
loop_
_atom_site_label
_atom_site_fract_x
_atom_site_fract_y
_atom_site_fract_z
_atom_site_occupancy
Np1 0.000 0.000 0.000 1
Pa1 0.000 0.000 0.500 1
O1 0.000 0.000 0.267 1
O2 0.000 0.307 0.000 1
O3 0.000 0.500 0.500 1



# NpPa4O10 (PBE, optimized geometry)
# N(E_F): 0.85 states/eV per atom
# theoretical density: 10.73 Mg/m³
# energy relative to the elements, uncorrected: -3.510 eV per atom
# total DFT energy (no corrections): -0.75049 Ry per atom
data_NpPa4O10
_cell_length_a 3.8714
_cell_length_b 3.8714
_cell_length_c 47.2352
_cell_angle_alpha 90.00
_cell_angle_beta 90.00
_cell_angle_gamma 120.00
_space_group_name_H-M_alt 'R -3 m'
_space_group_IT_number 166
_space_group_name_Hall '-R 3 2"'
loop_
_atom_site_label
_atom_site_fract_x
_atom_site_fract_y
_atom_site_fract_z
_atom_site_occupancy
Np1 0.0000 0.0000 0.0000 1
Pa1 0.0000 0.0000 0.2002 1
Pa2 0.0000 0.0000 0.3992 1
O1 0.0000 0.0000 0.0519 1
O2 0.0000 0.0000 0.1500 1
O3 0.0000 0.0000 0.2497 1
O4 0.0000 0.0000 0.3518 1
O5 0.0000 0.0000 0.4502 1



# NpPaO2 (PBE, optimized geometry)
# N(E_F): 2.14 states/eV per atom
# theoretical density: 10.79 Mg/m³
# energy relative to the elements, uncorrected: -2.254 eV per atom
# relative energy among the computed polymorphs: 0.0 kJ/mol of atoms
# total DFT energy (no corrections): -0.76014 Ry per atom
data_NpPaO2
_cell_length_a 3.7552
_cell_length_b 3.7552
_cell_length_c 18.8992
_cell_angle_alpha 90.00
_cell_angle_beta 90.00
_cell_angle_gamma 120.00
_space_group_name_H-M_alt 'R -3 m'
_space_group_IT_number 166
_space_group_name_Hall '-R 3 2"'
loop_
_atom_site_label
_atom_site_fract_x
_atom_site_fract_y
_atom_site_fract_z
_atom_site_occupancy
Np1 0.0000 0.0000 0.0000 1
Pa1 0.0000 0.0000 0.5000 1
O1 0.0000 0.0000 0.1236 1



# NpPaPbO6 (PBE, optimized geometry)
# N(E_F): 0.84 states/eV per atom
# theoretical density: 8.21 Mg/m³
# energy relative to the elements, uncorrected: -2.733 eV per atom
# total DFT energy (no corrections): -0.65731 Ry per atom
data_NpPaPbO6
_cell_length_a 5.9901
_cell_length_b 5.9901
_cell_length_c 10.0372
_cell_angle_alpha 90.00
_cell_angle_beta 90.00
_cell_angle_gamma 120.00
_space_group_name_H-M_alt 'P -3 1 c'
_space_group_IT_number 163
_space_group_name_Hall '-P 3 2c'
loop_
_atom_site_label
_atom_site_fract_x
_atom_site_fract_y
_atom_site_fract_z
_atom_site_occupancy
Np1 0.3333 0.6667 0.2500 1
Pa1 0.3333 0.6667 0.7500 1
Pb1 0.0000 0.0000 0.0000 1
O1 0.0052 0.3708 0.1446 1



# NpPaPdO6 (PBE, optimized geometry)
# N(E_F): 0.62 states/eV per atom
# theoretical density: 8.09 Mg/m³
# energy relative to the elements, uncorrected: -2.381 eV per atom
# total DFT energy (no corrections): -0.64360 Ry per atom
data_NpPaPdO6
_cell_length_a 5.8918
_cell_length_b 5.8918
_cell_length_c 9.1568
_cell_angle_alpha 90.00
_cell_angle_beta 90.00
_cell_angle_gamma 120.00
_space_group_name_H-M_alt 'P -3 1 c'
_space_group_IT_number 163
_space_group_name_Hall '-P 3 2c'
loop_
_atom_site_label
_atom_site_fract_x
_atom_site_fract_y
_atom_site_fract_z
_atom_site_occupancy
Np1 0.3333 0.6667 0.2500 1
Pa1 0.3333 0.6667 0.7500 1
Pd1 0.0000 0.0000 0.0000 1
O1 0.0129 0.3681 0.1384 1



# PmNpPaO6 (PBE, optimized geometry)
# N(E_F): 1.24 states/eV per atom
# theoretical density: 8.38 Mg/m³
# energy relative to the elements, uncorrected: -3.234 eV per atom
# total DFT energy (no corrections): -0.70267 Ry per atom
data_PmNpPaO6
_cell_length_a 5.8357
_cell_length_b 5.8357
_cell_length_c 4.7642
_cell_angle_alpha 90.00
_cell_angle_beta 90.00
_cell_angle_gamma 120.00
_space_group_name_H-M_alt 'P 3 1 2'
_space_group_IT_number 149
loop_
_space_group_symop_operation_xyz
'x,y,z'
'-y,x-y,z'
'-x+y,-x,z'
'-y,-x,-z'
'-x+y,y,-z'
'x,x-y,-z'
loop_
_atom_site_label
_atom_site_fract_x
_atom_site_fract_y
_atom_site_fract_z
_atom_site_occupancy
Pm1 0.0000 0.0000 0.0000 1
Np1 0.3333 0.6667 0.0000 1
Pa1 0.6667 0.3333 0.5000 1
O1 0.3560 0.0058 0.2450 1



# PrNpPaO6 (PBE, optimized geometry)
# N(E_F): 1.18 states/eV per atom
# theoretical density: 8.20 Mg/m³
# energy relative to the elements, uncorrected: -3.200 eV per atom
# total DFT energy (no corrections): -0.70037 Ry per atom
data_PrNpPaO6
_cell_length_a 5.8807
_cell_length_b 5.8807
_cell_length_c 4.7674
_cell_angle_alpha 90.00
_cell_angle_beta 90.00
_cell_angle_gamma 120.00
_space_group_name_H-M_alt 'P 3 1 2'
_space_group_IT_number 149
loop_
_space_group_symop_operation_xyz
'x,y,z'
'-y,x-y,z'
'-x+y,-x,z'
'-y,-x,-z'
'-x+y,y,-z'
'x,x-y,-z'
loop_
_atom_site_label
_atom_site_fract_x
_atom_site_fract_y
_atom_site_fract_z
_atom_site_occupancy
Pr1 0.0000 0.0000 0.0000 1
Np1 0.3333 0.6667 0.0000 1
Pa1 0.6667 0.3333 0.5000 1
O1 0.3607 0.0054 0.2462 1